{"formula": "NaAc2Si", "functional": "GGA-PBE", "state": "relaxed", "vol_a3_per_atom": 41.83, "formation_energy_uncorrected_ev_per_atom": -0.1566, "cell": [[2.197, 1.268, 10.007], [-2.197, 1.268, 10.007], [0.000, -2.537, 10.007]], "species": ["Na", "Ac", "Ac", "Si"], "frac_coords": [[0.000, 0.000, 0.000], [0.225, 0.225, 0.225], [0.775, 0.775, 0.775], [0.500, 0.500, 0.500]]}

***

{"formula": "NaAc2Si", "functional": "GGA-PBE", "state": "relaxed", "vol_a3_per_atom": 41.52, "formation_energy_uncorrected_ev_per_atom": -0.1614, "cell": [[2.214, 1.278, 9.781], [-2.214, 1.278, 9.781], [0.000, -2.557, 9.781]], "species": ["Na", "Ac", "Ac", "Si"], "frac_coords": [[0.000, 0.000, 0.000], [0.559, 0.559, 0.559], [0.773, 0.773, 0.773], [0.166, 0.166, 0.166]]}

***

{"formula": "Na2Ac2Si", "functional": "GGA-PBE", "state": "relaxed", "vol_a3_per_atom": 34.96, "formation_energy_uncorrected_ev_per_atom": 0.0242, "cell": [[-2.040, 2.040, 10.504], [2.040, -2.040, 10.504], [2.040, 2.040, -10.504]], "species": ["Na", "Na", "Ac", "Ac", "Si"], "frac_coords": [[0.250, 0.750, 0.500], [0.750, 0.250, 0.500], [0.079, 0.079, 0.000], [0.921, 0.921, 0.000], [0.500, 0.500, 0.000]]}

***

{"formula": "NaAc2Si", "functional": "GGA-PBE", "state": "relaxed", "vol_a3_per_atom": 34.19, "formation_energy_uncorrected_ev_per_atom": -0.1343, "cell": [[4.020, 0.000, 0.000], [0.000, 4.020, 0.000], [0.000, 0.000, 8.462]], "species": ["Na", "Ac", "Ac", "Si"], "frac_coords": [[0.000, 0.000, 0.000], [0.500, 0.500, 0.303], [0.500, 0.500, 0.697], [0.000, 0.000, 0.500]]}